Entry 1:
! La5Tb2Sn5 (PBE, optimized geometry); values from VASP
! - space-group type = C2/m
&SYSTEM
  ibrav = 0, nat = 12, ntyp = 3
/
ATOMIC_SPECIES
La 138.91 La.upf
Tb 158.93 Tb.upf
Sn 118.71 Sn.upf
CELL_PARAMETERS angstrom
7.621 -2.276 0.000
7.621 2.276 0.000
-4.680 0.000 12.226
ATOMIC_POSITIONS angstrom
La 0.000 0.000 0.000
La -0.057 0.000 6.608
La -0.502 0.000 10.286
La 11.064 0.000 1.941
La 10.619 0.000 5.618
Tb 3.551 0.000 8.698
Tb 7.011 0.000 3.528
Sn 1.503 0.000 3.544
Sn 5.507 0.000 0.919
Sn 5.281 0.000 6.113
Sn 5.055 0.000 11.307
Sn 9.058 0.000 8.682


Entry 2:
! LaTb8Sn6 (PBE, optimized geometry); values from VASP
! - space-group type = R-3
&SYSTEM
  ibrav = 0, nat = 15, ntyp = 3
/
ATOMIC_SPECIES
La 138.91 La.upf
Tb 158.93 Tb.upf
Sn 118.71 Sn.upf
CELL_PARAMETERS angstrom
4.570 2.639 6.501
-4.570 2.639 6.501
0.000 -5.277 6.501
ATOMIC_POSITIONS angstrom
La 0.000 0.000 0.000
Tb -3.061 0.047 8.566
Tb -1.571 -2.627 10.938
Tb 0.000 0.000 6.487
Tb 1.490 -2.674 8.566
Tb -1.490 2.674 10.938
Tb 0.000 0.000 13.016
Tb 1.571 2.627 8.566
Tb 3.061 -0.047 10.938
Sn -1.565 -2.575 7.826
Sn -3.012 0.068 11.678
Sn -1.447 2.643 7.826
Sn 1.447 -2.643 11.678
Sn 3.012 -0.068 7.826
Sn 1.565 2.575 11.678


Entry 3:
! LaTb3Sn3 (PBE, optimized geometry); values from VASP
! - space-group type = P6_3/m
&SYSTEM
  ibrav = 0, nat = 14, ntyp = 3
/
ATOMIC_SPECIES
La 138.91 La.upf
Tb 158.93 Tb.upf
Sn 118.71 Sn.upf
CELL_PARAMETERS angstrom
9.354 0.000 0.000
-4.677 8.101 0.000
0.000 0.000 5.401
ATOMIC_POSITIONS angstrom
La 0.000 5.400 1.350
La 4.677 2.700 4.051
Tb -1.110 1.938 1.350
Tb -2.443 8.093 1.350
Tb 1.124 1.930 4.051
Tb 3.553 6.170 1.350
Tb 7.120 0.008 4.051
Tb 5.787 6.162 4.051
Sn -1.409 3.624 4.051
Sn -0.833 7.509 4.051
Sn 2.434 3.033 1.350
Sn 2.243 5.068 4.051
Sn 5.510 0.592 1.350
Sn 6.086 4.476 1.350


Entry 4:
! La14TbSn (PBE, optimized geometry); values from VASP
! - space-group type = Amm2
&SYSTEM
  ibrav = 0, nat = 16, ntyp = 3
/
ATOMIC_SPECIES
La 138.91 La.upf
Tb 158.93 Tb.upf
Sn 118.71 Sn.upf
CELL_PARAMETERS angstrom
10.411 0.000 0.000
0.000 5.179 5.179
0.000 -5.179 5.179
ATOMIC_POSITIONS angstrom
La 0.000 0.000 0.000
La 0.000 0.000 5.150
La 0.000 -2.586 7.763
La 0.000 2.586 7.763
La 2.679 0.000 7.841
La 2.686 0.000 2.500
La 2.683 -2.670 5.172
La 2.683 2.670 5.172
La 5.206 -2.589 7.763
La 5.206 2.589 7.763
La 7.726 0.000 2.500
La 7.729 -2.670 5.172
La 7.729 2.670 5.172
La 7.732 0.000 7.841
Tb 5.206 0.000 5.174
Sn 5.206 0.000 10.349


Entry 5:
! La3TbSn4 (PBE, optimized geometry); values from VASP
! - space-group type = Immm
&SYSTEM
  ibrav = 0, nat = 8, ntyp = 3
/
ATOMIC_SPECIES
La 138.91 La.upf
Tb 158.93 Tb.upf
Sn 118.71 Sn.upf
CELL_PARAMETERS angstrom
-2.074 3.603 8.913
2.074 -3.603 8.913
2.074 3.603 -8.913
ATOMIC_POSITIONS angstrom
La 0.000 0.000 0.000
La 2.074 0.000 5.265
La 0.000 3.603 3.647
Tb 0.000 0.000 8.913
Sn 2.074 1.476 -2.264
Sn 2.074 1.476 2.264
Sn 0.000 2.127 6.648
Sn 0.000 2.127 11.177


Entry 6:
! LaTbTlSn (PBE, optimized geometry); values from VASP
! - space-group type = F-43m
&SYSTEM
  ibrav = 0, nat = 4, ntyp = 4
/
ATOMIC_SPECIES
La 138.91 La.upf
Tb 158.93 Tb.upf
Tl 204.38 Tl.upf
Sn 118.71 Sn.upf
CELL_PARAMETERS angstrom
0.000 3.885 3.885
3.885 0.000 3.885
3.885 3.885 0.000
ATOMIC_POSITIONS angstrom
La 0.000 0.000 0.000
Tb 3.885 3.885 3.885
Tl 1.943 1.943 1.943
Sn 5.828 5.828 5.828


Entry 7:
! La5TcSn2 (PBE, optimized geometry); values from VASP
! - space-group type = Pnma
&SYSTEM
  ibrav = 0, nat = 32, ntyp = 3
/
ATOMIC_SPECIES
La 138.91 La.upf
Tc 98.00 Tc.upf
Sn 118.71 Sn.upf
CELL_PARAMETERS angstrom
12.643 0.000 0.000
0.000 9.500 0.000
0.000 0.000 8.432
ATOMIC_POSITIONS angstrom
La 0.039 2.375 0.298
La 0.850 4.946 2.645
La 0.850 9.304 2.645
La 2.489 2.375 5.193
La 2.548 7.125 5.449
La 3.774 2.375 1.233
La 3.832 7.125 0.977
La 5.472 0.196 6.861
La 5.472 4.554 6.861
La 6.282 7.125 4.514
La 6.361 2.375 3.918
La 7.171 4.946 1.571
La 7.171 9.304 1.571
La 8.811 2.375 7.455
La 8.869 7.125 7.199
La 10.096 2.375 2.983
La 10.154 7.125 3.239
La 11.794 0.196 5.787
La 11.794 4.554 5.787
La 12.604 7.125 8.134
Tc 0.275 2.375 3.523
Tc 6.046 7.125 7.739
Tc 6.597 2.375 0.693
Tc 12.368 7.125 4.909
Sn 2.167 0.065 7.757
Sn 2.167 4.685 7.757
Sn 4.154 4.814 3.541
Sn 4.154 9.435 3.541
Sn 8.489 0.065 4.891
Sn 8.489 4.685 4.891
Sn 10.476 4.814 0.675
Sn 10.476 9.435 0.675


Entry 8:
! La2TcSn4 (PBE, optimized geometry); values from VASP
! - space-group type = I4/mmm
&SYSTEM
  ibrav = 0, nat = 7, ntyp = 3
/
ATOMIC_SPECIES
La 138.91 La.upf
Tc 98.00 Tc.upf
Sn 118.71 Sn.upf
CELL_PARAMETERS angstrom
-2.528 2.528 8.209
2.528 -2.528 8.209
2.528 2.528 -8.209
ATOMIC_POSITIONS angstrom
La 0.000 0.000 2.346
La 0.000 0.000 14.073
Tc 0.000 0.000 8.209
Sn 2.528 0.000 0.000
Sn 0.000 0.000 5.459
Sn 0.000 2.528 0.000
Sn 0.000 0.000 10.960


Entry 9:
! La2TcSn2 (PBE, optimized geometry); values from VASP
! - space-group type = P4/mbm
&SYSTEM
  ibrav = 0, nat = 10, ntyp = 3
/
ATOMIC_SPECIES
La 138.91 La.upf
Tc 98.00 Tc.upf
Sn 118.71 Sn.upf
CELL_PARAMETERS angstrom
7.466 0.000 0.000
0.000 7.466 0.000
0.000 0.000 4.875
ATOMIC_POSITIONS angstrom
La 1.284 2.449 0.000
La 2.449 6.181 0.000
La 5.017 1.284 0.000
La 6.181 5.017 0.000
Tc 0.000 0.000 2.437
Tc 3.733 3.733 2.437
Sn 1.049 4.782 2.437
Sn 2.683 1.049 2.437
Sn 4.782 6.416 2.437
Sn 6.416 2.683 2.437


Entry 10:
! La8TcSn2 (PBE, optimized geometry); values from VASP
! - space-group type = C2/m
&SYSTEM
  ibrav = 0, nat = 11, ntyp = 3
/
ATOMIC_SPECIES
La 138.91 La.upf
Tc 98.00 Tc.upf
Sn 118.71 Sn.upf
CELL_PARAMETERS angstrom
9.040 -2.890 0.000
9.040 2.890 0.000
-2.832 0.000 6.577
ATOMIC_POSITIONS angstrom
La 17.387 0.000 1.610
La -2.138 0.000 4.968
La 1.628 0.000 4.605
La 6.500 0.000 0.744
La 4.997 0.000 4.206
La 10.251 0.000 2.371
La 8.748 0.000 5.833
La 13.620 0.000 1.972
Tc 7.624 0.000 3.289
Sn 2.844 0.000 1.226
Sn 12.404 0.000 5.351


Entry 11:
! LaTc2Sn2 (PBE, optimized geometry); values from VASP
! - space-group type = I4/mmm
&SYSTEM
  ibrav = 0, nat = 5, ntyp = 3
/
ATOMIC_SPECIES
La 138.91 La.upf
Tc 98.00 Tc.upf
Sn 118.71 Sn.upf
CELL_PARAMETERS angstrom
-2.390 2.390 5.037
2.390 -2.390 5.037
2.390 2.390 -5.037
ATOMIC_POSITIONS angstrom
La 0.000 0.000 0.000
Tc 0.000 0.000 3.921
Tc 0.000 0.000 6.154
Sn 2.390 0.000 2.519
Sn 0.000 2.390 2.519


Entry 12:
! La2Tc2Sn (PBE, optimized geometry); values from VASP
! - space-group type = I4/mmm
&SYSTEM
  ibrav = 0, nat = 5, ntyp = 3
/
ATOMIC_SPECIES
La 138.91 La.upf
Tc 98.00 Tc.upf
Sn 118.71 Sn.upf
CELL_PARAMETERS angstrom
-1.799 1.799 9.897
1.799 -1.799 9.897
1.799 1.799 -9.897
ATOMIC_POSITIONS angstrom
La 0.000 0.000 2.312
La 0.000 0.000 17.482
Tc 1.799 0.000 4.948
Tc 0.000 1.799 4.948
Sn 0.000 0.000 9.897


no.,energy of formation (meV per atom)
1,-588
2,-556
3,-572
4,-100
5,-612
6,-515
7,-535
8,-227
9,-328
10,-332
11,-185
12,-76